Below is crystalline BeSb2 at its relaxed geometry, with properties calculated at the PBE level.

Cell: 7.301 7.301 5.166 Å, 90.00 90.00 148.84°
Fractional positions:
Sb 0.792 0.208 0.250
Sb 0.555 0.445 0.250
Sb 0.445 0.555 0.750
Sb 0.208 0.792 0.750
Be 0.834 0.166 0.750
Be 0.166 0.834 0.250

Calculated values
ΔE_f (raw) = 0.267 eV per atom
Crystal system = orthorhombic
ΔE to the lowest computed polymorph = 33.9 meV per atom

Below is crystalline Sm4YEr at its relaxed geometry, with properties calculated at the PBE level.

Cell: 6.629 6.629 6.629 Å, 60.00 60.00 60.00°
Fractional positions:
Sm 0.625 0.125 0.625
Sm 0.625 0.625 0.125
Sm 0.125 0.625 0.625
Sm 0.625 0.625 0.625
Y 0.250 0.250 0.250
Er 0.000 0.000 0.000

Calculated values
Crystal system = cubic
Energy relative to the elements = 0.2468 eV/atom
ΔE to the lowest computed polymorph = 230.3 meV per atom

Below is crystalline KTc2Ru at its relaxed geometry, with properties calculated at the PBE level.

Cell: 3.766 2.704 8.639 Å, 71.96 90.00 90.00°
Fractional positions:
Tc 0.000 0.096 0.905
Tc 0.000 0.404 0.595
Ru 0.500 0.750 0.750
K 0.500 0.250 0.250

Calculated values
Crystal system = monoclinic
Energy relative to the elements = 0.8037 eV/atom
ΔE to the lowest computed polymorph = 55.0 meV per atom

Below is crystalline HgRu2W at its relaxed geometry, with properties calculated at the PBE level.

Cell: 5.051 5.051 5.051 Å, 135.15 135.01 65.41°
Fractional positions:
Ru 0.749 0.249 0.500
Ru 0.000 0.000 0.000
W 0.501 0.501 0.000
Hg 0.250 0.750 0.500

Calculated values
Crystal system = orthorhombic
Energy relative to the elements = 0.5033 eV/atom
ΔE to the lowest computed polymorph = 284.7 meV per atom

Below is crystalline Ta5CuRu6 at its relaxed geometry, with properties calculated at the PBE level.

Cell: 4.433 7.691 7.691 Å, 119.51 106.79 106.79°
Fractional positions:
Ta 0.000 0.665 0.335
Ta 0.000 0.335 0.665
Ta 0.500 0.500 0.500
Ta 0.500 0.159 0.841
Ta 0.500 0.841 0.159
Cu 0.000 0.000 0.000
Ru 0.251 0.421 0.082
Ru 0.752 0.252 0.252
Ru 0.749 0.579 0.918
Ru 0.749 0.918 0.579
Ru 0.251 0.082 0.421
Ru 0.248 0.748 0.748

Calculated values
Crystal system = monoclinic
Energy relative to the elements = -0.3347 eV/atom

Below is crystalline InOs2I at its relaxed geometry, with properties calculated at the PBE level.

Cell: 6.157 6.157 7.032 Å, 64.04 64.04 90.00°
Fractional positions:
I 0.750 0.250 0.500
I 0.000 0.000 0.000
Os 0.645 0.125 0.250
Os 0.875 0.895 0.750
Os 0.105 0.625 0.250
Os 0.375 0.355 0.750
In 0.250 0.750 0.500
In 0.500 0.500 0.000

Calculated values
ΔE_f (raw) = 1.692 eV per atom
Crystal system = tetragonal
ΔE to the lowest computed polymorph = 408.3 meV per atom

Number 1: calculated total energy -3.72 eV/atom, Fermi-level density of states 2.38 states/eV/cell. Number 2: calculated total energy -4.74 eV/atom, Fermi-level density of states 9.78 states/eV/cell. Number 3: calculated total energy -6.97 eV/atom, Fermi-level density of states 5.14 states/eV/cell. Number 4: calculated total energy -7.45 eV/atom, Fermi-level density of states 3.97 states/eV/cell. Number 5: calculated total energy -10.25 eV/atom, Fermi-level density of states 6.67 states/eV/cell. Number 6: calculated total energy -5.00 eV/atom, Fermi-level density of states 5.63 states/eV/cell.